# Li12CrO7 (PBE with a Hubbard U, relaxed)
data_Li12CrO7
_chemical_formula_sum 'Li36 Cr3 O21'
_symmetry_space_group_name_H-M 'R -3'
_symmetry_Int_Tables_number 148
_symmetry_space_group_name_Hall '-R 3'
_cell_length_a 10.2503
_cell_length_b 10.2503
_cell_length_c 7.3915
_cell_angle_alpha 90.00
_cell_angle_beta 90.00
_cell_angle_gamma 120.00
loop_
_atom_site_label
_atom_site_type_symbol
_atom_site_fract_x
_atom_site_fract_y
_atom_site_fract_z
Li1 Li 0.0307 0.4542 0.1399
Li2 Li 0.0337 0.8891 0.8194
Cr1 Cr 0.0000 0.0000 0.5000
O1 O 0.0000 0.0000 0.0000
O2 O 0.0293 0.8482 0.3410
# density of states at the Fermi level	2.8	states/eV/f.u.
# uncorrected energy	-4.912	eV/atom
# crystal system	trigonal